10
Lattice="5.486 0.000 0.000 0.000 5.486 0.000 0.000 0.000 11.005" Properties=species:S:1:pos:R:3 comment="Cs2Tl4HgAu3 | the Alexandria database | GGA-PBE | optimized geometry" final_energy_ev_per_atom=-2.2864 pbc="T T T"
Cs 0.000 2.743 2.691
Cs 2.743 0.000 8.313
Tl 0.000 0.000 5.502
Tl 0.000 2.743 9.649
Tl 2.743 0.000 1.355
Tl 2.743 2.743 5.502
Hg 2.743 2.743 0.000
Au 0.000 0.000 0.000
Au 0.000 2.743 6.703
Au 2.743 0.000 4.302


12
Lattice="14.604 0.000 0.000 0.000 5.428 0.000 -0.498 0.000 3.290" Properties=species:S:1:pos:R:3 comment="SnHgAu4 | the Alexandria database | GGA-PBE | optimized geometry" polymorph_energy_ev_per_fu=0.224 pbc="T T T"
Sn 0.000 0.000 0.000
Sn 7.302 2.714 0.000
Hg 4.211 2.714 0.736
Hg 11.513 0.000 0.736
Au 1.816 1.360 1.948
Au 1.816 4.068 1.948
Au 4.185 0.000 2.687
Au 6.704 0.000 1.321
Au 9.118 1.354 1.948
Au 9.118 4.074 1.948
Au 11.487 2.714 2.687
Au 14.006 2.714 1.321